Computed, not measured: a relaxed ZnAg2SnTeS3 crystal at the PBE-GGA level of DFT.

- final energy (eV/cell) = -29.00

Geometry as POSCAR:
```
ZnAg2SnTeS3
1.0
4.152 -3.994 0.000
4.152 3.994 0.000
-4.149 0.000 6.168
Zn Ag Sn Te S
1 2 1 1 3
Direct
0.000 0.000 0.000
0.279 0.714 0.458
0.714 0.279 0.458
0.516 0.516 0.985
0.113 0.113 0.724
0.372 0.878 0.219
0.656 0.656 0.768
0.878 0.372 0.219
```

=====

Computed, not measured: a relaxed TmAgSnS3 crystal at the PBE-GGA level of DFT.

- final energy (eV/cell) = -58.77
- M_tot (Bohr magnetons per cell) = 0.01
- energy relative to the lowest polymorph listed for this composition (eV per atom) = 0.042

Geometry as POSCAR:
```
TmAgSnS3
1.0
7.417 0.000 0.000
0.000 3.970 0.000
-2.585 0.000 9.307
Tm Ag Sn S
2 2 2 6
Direct
0.205 0.250 0.150
0.795 0.750 0.850
0.392 0.750 0.407
0.608 0.250 0.593
0.204 0.750 0.693
0.796 0.250 0.307
0.064 0.250 0.864
0.193 0.250 0.449
0.450 0.750 0.165
0.550 0.250 0.835
0.807 0.750 0.551
0.936 0.750 0.136
```

=====

Computed, not measured: a relaxed TmAgSnS3 crystal at the PBE-GGA level of DFT.

- final energy (eV/cell) = -118.47
- M_tot (Bohr magnetons per cell) = 0.02
- energy relative to the lowest polymorph listed for this composition (eV per atom) = 0.004

Geometry as POSCAR:
```
TmAgSnS3
1.0
11.893 0.000 0.000
0.000 3.891 0.000
0.000 0.000 12.424
Tm Ag Sn S
4 4 4 12
Direct
0.014 0.250 0.148
0.486 0.750 0.648
0.514 0.250 0.352
0.986 0.750 0.852
0.197 0.750 0.390
0.303 0.250 0.890
0.697 0.750 0.110
0.803 0.250 0.610
0.170 0.250 0.583
0.330 0.750 0.083
0.670 0.250 0.917
0.830 0.750 0.417
0.013 0.750 0.302
0.106 0.250 0.949
0.242 0.250 0.200
0.258 0.750 0.700
0.394 0.750 0.449
0.487 0.250 0.802
0.513 0.750 0.198
0.606 0.250 0.551
0.742 0.250 0.300
0.758 0.750 0.800
0.894 0.750 0.051
0.987 0.250 0.698
```

=====

Computed, not measured: a relaxed TmAgSnS3 crystal at the PBE-GGA level of DFT.

- final energy (eV/cell) = -118.29
- M_tot (Bohr magnetons per cell) = 0.00
- energy relative to the lowest polymorph listed for this composition (eV per atom) = 0.011

Geometry as POSCAR:
```
TmAgSnS3
1.0
8.458 0.000 0.000
0.000 3.967 0.000
0.000 0.000 16.575
Tm Ag Sn S
4 4 4 12
Direct
0.179 0.250 0.062
0.321 0.750 0.562
0.679 0.250 0.438
0.821 0.750 0.938
0.093 0.250 0.395
0.407 0.750 0.895
0.593 0.250 0.105
0.907 0.750 0.605
0.168 0.250 0.762
0.332 0.750 0.262
0.668 0.250 0.738
0.832 0.750 0.238
0.105 0.250 0.606
0.121 0.250 0.222
0.137 0.750 0.952
0.363 0.250 0.452
0.379 0.750 0.722
0.395 0.750 0.106
0.605 0.250 0.894
0.621 0.250 0.278
0.637 0.750 0.548
0.863 0.250 0.048
0.879 0.750 0.778
0.895 0.750 0.394
```

=====

Computed, not measured: a relaxed TmAgSnS3 crystal at the PBE-GGA level of DFT.

- final energy (eV/cell) = -59.09
- M_tot (Bohr magnetons per cell) = 0.00
- energy relative to the lowest polymorph listed for this composition (eV per atom) = 0.016

Geometry as POSCAR:
```
TmAgSnS3
1.0
8.555 -1.940 0.000
8.555 1.940 0.000
-1.983 0.000 8.092
Tm Ag Sn S
2 2 2 6
Direct
0.165 0.165 0.088
0.835 0.835 0.912
0.475 0.475 0.785
0.525 0.525 0.215
0.134 0.134 0.575
0.866 0.866 0.425
0.000 0.000 0.000
0.316 0.316 0.680
0.328 0.328 0.140
0.500 0.500 0.500
0.672 0.672 0.860
0.684 0.684 0.320
```

=====

Computed, not measured: a relaxed TmAgSnS3 crystal at the PBE-GGA level of DFT.

- final energy (eV/cell) = -58.62
- M_tot (Bohr magnetons per cell) = 0.01
- energy relative to the lowest polymorph listed for this composition (eV per atom) = 0.055

Geometry as POSCAR:
```
TmAgSnS3
1.0
1.985 -6.504 0.000
1.985 6.504 0.000
0.000 0.000 10.290
Tm Ag Sn S
2 2 2 6
Direct
0.000 0.000 0.000
0.000 0.000 0.500
0.458 0.542 0.750
0.542 0.458 0.250
0.257 0.743 0.250
0.743 0.257 0.750
0.088 0.912 0.750
0.360 0.640 0.545
0.360 0.640 0.955
0.640 0.360 0.045
0.640 0.360 0.455
0.912 0.088 0.250
```

=====

Computed, not measured: a relaxed TmAgSnS3 crystal at the PBE-GGA level of DFT.

- final energy (eV/cell) = -118.56
- M_tot (Bohr magnetons per cell) = 0.00
- energy relative to the lowest polymorph listed for this composition (eV per atom) = 0.000

Geometry as POSCAR:
```
TmAgSnS3
1.0
13.033 0.000 0.000
0.000 4.000 0.000
0.000 0.000 10.927
Tm Ag Sn S
4 4 4 12
Direct
0.012 0.250 0.158
0.488 0.750 0.658
0.512 0.250 0.342
0.988 0.750 0.842
0.026 0.750 0.412
0.474 0.250 0.912
0.526 0.750 0.088
0.974 0.250 0.588
0.241 0.250 0.529
0.259 0.750 0.029
0.741 0.250 0.971
0.759 0.750 0.471
0.108 0.750 0.634
0.109 0.250 0.939
0.139 0.750 0.225
0.361 0.250 0.725
0.391 0.750 0.439
0.392 0.250 0.134
0.608 0.750 0.866
0.609 0.250 0.561
0.639 0.750 0.275
0.861 0.250 0.775
0.891 0.750 0.061
0.892 0.250 0.366
```

=====

Computed, not measured: a relaxed TmAgSnS3 crystal at the PBE-GGA level of DFT.

- final energy (eV/cell) = -117.56
- M_tot (Bohr magnetons per cell) = 0.01
- energy relative to the lowest polymorph listed for this composition (eV per atom) = 0.042

Geometry as POSCAR:
```
TmAgSnS3
1.0
10.441 0.000 0.000
0.000 3.994 0.000
-0.001 0.000 13.052
Tm Ag Sn S
4 4 4 12
Direct
0.022 0.250 0.238
0.478 0.750 0.738
0.522 0.250 0.262
0.978 0.750 0.762
0.234 0.250 0.712
0.266 0.750 0.211
0.734 0.250 0.789
0.766 0.750 0.288
0.204 0.750 0.486
0.296 0.250 0.986
0.704 0.750 0.014
0.796 0.250 0.514
0.028 0.250 0.615
0.069 0.750 0.109
0.237 0.750 0.840
0.264 0.250 0.340
0.432 0.250 0.609
0.473 0.750 0.115
0.527 0.250 0.885
0.568 0.750 0.391
0.736 0.750 0.660
0.763 0.250 0.160
0.931 0.250 0.891
0.972 0.750 0.385
```